Record 1
Computed, not measured: a relaxed Pm2SmFe9 crystal at the PBE level of DFT.

```
Pm2SmFe9
1.0
2.584 1.492 8.235
-2.584 1.492 8.235
0.000 -2.984 8.235
Pm Sm Fe
2 1 9
direct
0.142 0.142 0.142 Pm
0.858 0.858 0.858 Pm
0.000 0.000 0.000 Sm
0.084 0.578 0.578 Fe
0.333 0.333 0.333 Fe
0.422 0.422 0.916 Fe
0.422 0.916 0.422 Fe
0.500 0.500 0.500 Fe
0.578 0.084 0.578 Fe
0.578 0.578 0.084 Fe
0.667 0.667 0.667 Fe
0.916 0.422 0.422 Fe
```

ΔE_f = 16 meV/atom
Raw total energy = -90.20 eV per cell
Density = 8.22 g/cm³

Record 2
Computed, not measured: a relaxed PmSm3Fe crystal at the PBE level of DFT.

```
PmSm3Fe
1.0
5.374 0.000 0.000
0.000 5.374 0.000
0.000 0.000 5.374
Pm Sm Fe
1 3 1
direct
0.000 0.000 0.000 Pm
0.000 0.500 0.500 Sm
0.500 0.000 0.500 Sm
0.500 0.500 0.000 Sm
0.500 0.500 0.500 Fe
```

ΔE_f = 178 meV/atom
Raw total energy = -26.48 eV per cell
Density = 6.97 g/cm³

Record 3
Computed, not measured: a relaxed PmSmFe crystal at the PBE level of DFT.

```
PmSmFe
1.0
3.526 -6.034 0.000
3.526 6.034 0.000
0.000 0.000 7.523
Pm Sm Fe
4 4 4
direct
0.198 0.802 0.888 Pm
0.302 0.698 0.388 Pm
0.698 0.302 0.612 Pm
0.802 0.198 0.112 Pm
0.207 0.293 0.750 Sm
0.293 0.207 0.250 Sm
0.707 0.793 0.750 Sm
0.793 0.707 0.250 Sm
0.091 0.909 0.544 Fe
0.409 0.591 0.044 Fe
0.591 0.409 0.956 Fe
0.909 0.091 0.456 Fe
```

ΔE_f = 137 meV/atom
Energy above the lowest structure with this stoichiometry = 0.0 meV per atom
Raw total energy = -70.08 eV per cell
Density = 7.29 g/cm³

Record 4
Computed, not measured: a relaxed PmSmFe crystal at the PBE level of DFT.

```
PmSmFe
1.0
-1.730 1.730 6.558
1.730 -1.730 6.558
1.730 1.730 -6.558
Pm Sm Fe
1 1 1
direct
0.000 0.000 0.000 Pm
0.747 0.747 0.000 Sm
0.372 0.372 0.000 Fe
```

ΔE_f = 150 meV/atom
Energy above the lowest structure with this stoichiometry = 13.0 meV per atom
Raw total energy = -17.48 eV per cell
Density = 7.43 g/cm³

Record 5
Computed, not measured: a relaxed PmSm3Fe8 crystal at the PBE level of DFT.

```
PmSm3Fe8
1.0
2.609 1.507 8.526
-2.609 1.507 8.526
0.000 -3.013 8.526
Pm Sm Fe
1 3 8
direct
0.000 0.000 0.000 Pm
0.375 0.375 0.375 Sm
0.500 0.500 0.500 Sm
0.875 0.875 0.875 Sm
0.187 0.187 0.187 Fe
0.437 0.437 0.937 Fe
0.437 0.937 0.437 Fe
0.438 0.938 0.938 Fe
0.688 0.688 0.688 Fe
0.937 0.437 0.437 Fe
0.938 0.438 0.938 Fe
0.938 0.938 0.438 Fe
```

ΔE_f = 27 meV/atom
Raw total energy = -86.28 eV per cell
Density = 8.61 g/cm³

Record 6
Computed, not measured: a relaxed Pm6FeSn2 crystal at the PBE level of DFT.

```
Pm6FeSn2
1.0
4.404 0.000 0.000
0.000 7.204 4.159
0.000 -7.204 4.159
Pm Fe Sn
6 1 2
direct
0.000 0.000 0.000 Pm
0.000 0.529 0.764 Pm
0.000 0.764 0.529 Pm
0.500 0.175 0.764 Pm
0.500 0.353 0.353 Pm
0.500 0.764 0.175 Pm
0.500 0.765 0.765 Fe
0.000 0.097 0.431 Sn
0.000 0.431 0.097 Sn
```

ΔE_f = -359 meV/atom
Raw total energy = -48.20 eV per cell
Density = 7.32 g/cm³

Record 7
Computed, not measured: a relaxed Pm6FeSn3 crystal at the PBE level of DFT.

```
Pm6FeSn3
1.0
6.689 3.862 4.209
-6.689 3.862 4.209
0.000 -7.724 4.209
Pm Fe Sn
12 2 6
direct
0.010 0.947 0.690 Pm
0.053 0.310 0.990 Pm
0.197 0.561 0.430 Pm
0.310 0.990 0.053 Pm
0.430 0.197 0.561 Pm
0.439 0.570 0.803 Pm
0.561 0.430 0.197 Pm
0.570 0.803 0.439 Pm
0.690 0.010 0.947 Pm
0.803 0.439 0.570 Pm
0.947 0.690 0.010 Pm
0.990 0.053 0.310 Pm
0.000 0.000 0.000 Fe
0.500 0.500 0.500 Fe
0.120 0.306 0.646 Sn
0.306 0.646 0.120 Sn
0.354 0.880 0.694 Sn
0.646 0.120 0.306 Sn
0.694 0.354 0.880 Sn
0.880 0.694 0.354 Sn
```

ΔE_f = -287 meV/atom
Raw total energy = -103.69 eV per cell
Density = 6.53 g/cm³

Record 8
Computed, not measured: a relaxed PmFe2Sn7 crystal at the PBE level of DFT.

```
PmFe2Sn7
1.0
4.461 -6.089 0.000
4.461 6.089 0.000
0.000 0.000 4.867
Pm Fe Sn
1 2 7
direct
0.000 0.000 0.000 Pm
0.297 0.703 0.500 Fe
0.703 0.297 0.500 Fe
0.071 0.334 0.500 Sn
0.287 0.713 0.000 Sn
0.334 0.071 0.500 Sn
0.500 0.500 0.500 Sn
0.666 0.929 0.500 Sn
0.713 0.287 0.000 Sn
0.929 0.666 0.500 Sn
```

ΔE_f = 76 meV/atom
Raw total energy = -48.94 eV per cell
Density = 6.83 g/cm³